Entry from Alexandria via LeMat-Bulk: an optimized crystal structure of LiAcCrF6 (PBE with a Hubbard U).

Summary:
electronic total energy = -54.06 eV per formula unit
SG = P312

The structure in POSCAR format:
```
LiAcCrF6
1.0
5.4155 0.0000 0.0000
-2.7077 4.6900 0.0000
0.0000 0.0000 5.3438
Li Ac Cr F
1 1 1 6
Direct
0.0000 0.0000 0.0000
0.3333 0.6667 0.5000
0.6667 0.3333 0.0000
0.3285 0.0226 0.2212
0.3285 0.3059 0.7788
0.6941 0.0226 0.7788
0.6941 0.6715 0.2212
0.9774 0.3059 0.2212
0.9774 0.6715 0.7788
```